VASP calculation (PBE) on CoCuAs2 after structural relaxation.

Properties
energy relative to the lowest polymorph listed for this composition = 213 meV/atom
Fermi-level density of states = 3.1 states/eV/f.u.
electronic total energy = -4.896 eV/atom
space-group type = R3m
ΔH_f (0 K) = 0.229 eV/atom

The structure in POSCAR format:
```
CoCuAs2
1.0
-3.3623 3.0201 -6.1255
-1.1275 1.2777 -7.4191
-3.8290 -0.0262 -6.5792
As Co Cu
2 1 1
direct
0.0100 0.0100 0.0100 As
0.2334 0.2334 0.2334 As
0.5034 0.5034 0.5034 Co
0.7532 0.7532 0.7532 Cu
```